# 1
Dy5Er2Pd2S2 | the Open Quantum Materials Database | GGA-PBE | relaxed; uncorrected energy = -0.413 Ry/atom; calculated density = 8.89 Mg/m³
1.0
-1.918 7.509 4.615
1.918 -7.509 4.615
1.918 7.509 -4.615
Dy Er Pd S
5 2 2 2
Direct
0.000 0.000 0.000
0.128 0.760 0.369
0.391 0.760 0.631
0.484 0.599 0.884
0.715 0.599 0.116
0.070 0.389 0.681
0.707 0.389 0.319
0.328 0.089 0.239
0.850 0.089 0.761
0.345 0.345 0.000
0.755 0.255 0.500

---

# 2
NaHoCoSe3 | the Open Quantum Materials Database | GGA-PBE | relaxed; uncorrected energy = -0.364 Ry/atom; calculated density = 5.93 Mg/m³
1.0
11.126 0.000 0.000
0.000 4.066 0.000
0.000 0.000 11.983
Na Ho Co Se
4 4 4 12
Direct
0.178 0.250 0.003
0.322 0.750 0.503
0.678 0.250 0.497
0.822 0.750 0.997
0.019 0.250 0.313
0.481 0.750 0.813
0.519 0.250 0.187
0.981 0.750 0.687
0.248 0.250 0.714
0.252 0.750 0.214
0.748 0.250 0.786
0.752 0.750 0.286
0.052 0.750 0.148
0.106 0.250 0.565
0.217 0.750 0.814
0.283 0.250 0.314
0.394 0.750 0.065
0.448 0.250 0.648
0.552 0.750 0.352
0.606 0.250 0.935
0.717 0.750 0.686
0.783 0.250 0.186
0.894 0.750 0.435
0.948 0.250 0.852

---

# 3
FeBMo | the Open Quantum Materials Database | GGA-PBE | relaxed; uncorrected energy = -0.608 Ry/atom; calculated density = 7.41 Mg/m³
1.0
0.000 2.632 2.632
2.632 0.000 2.632
2.632 2.632 0.000
Fe B Mo
1 1 1
Direct
0.000 0.000 0.000
0.750 0.750 0.750
0.250 0.250 0.250

---

# 4
K3HgF6 | the Open Quantum Materials Database | GGA-PBE | relaxed; uncorrected energy = -0.264 Ry/atom; calculated density = 4.13 Mg/m³
1.0
-3.056 3.056 4.651
3.056 -3.056 4.651
3.056 3.056 -4.651
K Hg F
3 1 6
Direct
0.000 0.000 0.000
0.250 0.750 0.500
0.750 0.250 0.500
0.500 0.500 0.000
0.175 0.635 0.810
0.260 0.260 0.000
0.365 0.175 0.540
0.635 0.825 0.460
0.740 0.740 0.000
0.825 0.365 0.190

---

# 5
PrScAs | the Open Quantum Materials Database | GGA-PBE | relaxed; uncorrected energy = -0.440 Ry/atom; calculated density = 5.57 Mg/m³
1.0
0.000 3.388 3.388
3.388 0.000 3.388
3.388 3.388 0.000
Pr Sc As
1 1 1
Direct
0.000 0.000 0.000
0.500 0.500 0.500
0.250 0.250 0.250

---

# 6
Li2BeRe | the Open Quantum Materials Database | GGA-PBE | relaxed; uncorrected energy = -0.324 Ry/atom; calculated density = 7.56 Mg/m³
1.0
0.000 2.843 2.843
2.843 0.000 2.843
2.843 2.843 0.000
Li Be Re
2 1 1
Direct
0.000 0.000 0.000
0.250 0.250 0.250
0.500 0.500 0.500
0.750 0.750 0.750

---

# 7
SmCdAs | the Open Quantum Materials Database | GGA-PBE | relaxed; uncorrected energy = -0.283 Ry/atom; calculated density = 6.49 Mg/m³
1.0
0.000 3.509 3.509
3.509 0.000 3.509
3.509 3.509 0.000
Sm Cd As
1 1 1
Direct
0.000 0.000 0.000
0.250 0.250 0.250
0.750 0.750 0.750

---

# 8
Sm3Er3Te2Pt | the Open Quantum Materials Database | GGA-PBE | relaxed; uncorrected energy = -0.398 Ry/atom; calculated density = 9.46 Mg/m³
1.0
8.422 0.000 0.000
-4.211 7.294 0.000
0.000 0.000 4.012
Sm Er Te Pt
3 3 2 1
Direct
0.000 0.596 0.000
0.404 0.404 0.000
0.596 0.000 0.000
0.000 0.241 0.500
0.241 0.000 0.500
0.759 0.759 0.500
0.333 0.667 0.500
0.667 0.333 0.500
0.000 0.000 0.000